Material: Rb2CoCl2F2
Method: DFT, GGA+U
State: optimized geometry

Output
total energy = -28.386 eV for the cell shown
V = 23.53 Å³/atom
SG = No. 12

a b c (Å): 3.922 6.856 7.293
angles (deg): 62.62 74.40 73.38
Fractional positions:
Cl: 0.458 0.818 0.266
F: 0.836 0.255 0.072
Co: 0.000 0.000 0.000
Rb: 0.180 0.349 0.291
F: 0.164 0.745 0.928
Rb: 0.820 0.651 0.709
Cl: 0.542 0.182 0.734

Material: CoS2ClF
Method: DFT, GGA+U
State: optimized geometry

Output
total energy = -13.828 eV for the cell shown
V = 19.74 Å³/atom
E above lowest polymorph = 303.0 meV/atom
SG = No. 123

a b c (Å): 4.050 4.050 6.018
angles (deg): 90.00 90.00 90.00
Fractional positions:
Cl: 0.000 0.000 0.500
F: 0.000 0.000 0.000
S: 0.500 0.000 0.000
Co: 0.500 0.500 0.500
S: 0.000 0.500 0.000

Material: CoSCl2F
Method: DFT, GGA+U
State: optimized geometry

Output
total energy = -14.159 eV for the cell shown
V = 20.56 Å³/atom
E above lowest polymorph = 0.0 meV/atom
SG = No. 123

a b c (Å): 4.666 4.723 4.666
angles (deg): 90.00 90.00 90.00
Fractional positions:
Cl: 0.000 0.000 0.500
Co: 0.000 0.000 0.000
Cl: 0.500 0.000 0.000
S: 0.000 0.500 0.000
F: 0.500 0.500 0.500

Material: CoSCl2F
Method: DFT, GGA+U
State: optimized geometry

Output
total energy = -12.435 eV for the cell shown
V = 20.50 Å³/atom
E above lowest polymorph = 344.7 meV/atom
SG = No. 123

a b c (Å): 5.341 5.341 3.594
angles (deg): 90.00 90.00 90.00
Fractional positions:
Co: 0.500 0.500 0.500
Cl: 0.500 0.000 0.000
S: 0.000 0.000 0.500
F: 0.000 0.000 0.000
Cl: 0.000 0.500 0.000

Material: CoS2ClF
Method: DFT, GGA+U
State: optimized geometry

Output
total energy = -15.343 eV for the cell shown
V = 18.76 Å³/atom
E above lowest polymorph = 0.0 meV/atom
SG = No. 123

a b c (Å): 4.502 4.502 4.627
angles (deg): 90.00 90.00 90.00
Fractional positions:
Co: 0.000 0.000 0.000
S: 0.000 0.500 0.000
S: 0.500 0.000 0.000
Cl: 0.000 0.000 0.500
F: 0.500 0.500 0.500

Material: Co2SbClF
Method: DFT, GGA+U
State: optimized geometry

Output
total energy = -16.320 eV for the cell shown
V = 19.18 Å³/atom
SG = No. 123

a b c (Å): 4.243 5.329 4.243
angles (deg): 90.00 90.00 90.00
Fractional positions:
Co: 0.500 0.000 0.000
Co: 0.000 0.000 0.500
Cl: 0.000 0.000 0.000
Sb: 0.500 0.500 0.500
F: 0.000 0.500 0.000

Material: Sr3CoCl2F6
Method: DFT, GGA+U
State: optimized geometry

Output
total energy = -60.476 eV for the cell shown
V = 20.77 Å³/atom
SG = No. 12

a b c (Å): 5.442 7.251 7.326
angles (deg): 119.66 83.80 90.00
Fractional positions:
Cl: 0.880 0.291 0.582
Sr: 0.000 0.500 0.000
F: 0.352 0.150 0.300
F: 0.303 0.184 0.873
Sr: 0.500 0.500 0.500
Sr: 0.500 0.000 0.500
F: 0.648 0.850 0.700
Cl: 0.120 0.709 0.418
F: 0.697 0.311 0.127
F: 0.303 0.689 0.873
Co: 0.500 0.000 0.000
F: 0.697 0.816 0.127

Material: CoTc2ClF
Method: DFT, GGA+U
State: optimized geometry

Output
total energy = -24.427 eV for the cell shown
V = 17.70 Å³/atom
SG = No. 123

a b c (Å): 4.341 4.696 4.341
angles (deg): 90.00 90.00 90.00
Fractional positions:
Tc: 0.500 0.000 0.000
Cl: 0.000 0.000 0.000
Co: 0.500 0.500 0.500
F: 0.000 0.500 0.000
Tc: 0.000 0.000 0.500

Material: TlCoClF2
Method: DFT, GGA+U
State: optimized geometry

Output
total energy = -41.796 eV for the cell shown
V = 19.93 Å³/atom
E above lowest polymorph = 0.0 meV/atom
SG = No. 11

a b c (Å): 4.054 5.026 9.832
angles (deg): 95.91 90.00 90.00
Fractional positions:
F: 0.250 0.993 0.088
F: 0.250 0.956 0.667
Cl: 0.250 0.478 0.849
F: 0.750 0.007 0.912
Co: 0.750 0.039 0.131
Co: 0.250 0.961 0.869
Cl: 0.750 0.522 0.151
Tl: 0.250 0.689 0.374
Tl: 0.750 0.311 0.626
F: 0.750 0.044 0.333

Material: Tl5CoCl4F2
Method: DFT, GGA+U
State: optimized geometry

Output
total energy = -40.722 eV for the cell shown
V = 33.49 Å³/atom
SG = No. 38

a b c (Å): 7.381 7.316 8.618
angles (deg): 90.00 90.00 120.29
Fractional positions:
Cl: 0.729 0.378 0.000
F: 0.344 0.420 0.500
Cl: 0.537 0.000 0.717
Tl: 0.000 0.386 0.719
F: 0.924 0.580 0.500
Cl: 0.537 0.000 0.283
Tl: 0.614 0.614 0.281
Tl: 0.614 0.614 0.719
Cl: 0.351 0.622 0.000
Tl: 0.226 0.000 0.500
Co: 0.529 0.000 0.000
Tl: 0.000 0.386 0.281

Material: TlCoClF2
Method: DFT, GGA+U
State: optimized geometry

Output
total energy = -20.767 eV for the cell shown
V = 17.99 Å³/atom
E above lowest polymorph = 26.1 meV/atom
SG = No. 123

a b c (Å): 4.247 4.247 4.987
angles (deg): 90.00 90.00 90.00
Fractional positions:
F: 0.000 0.500 0.000
Cl: 0.000 0.000 0.500
Co: 0.000 0.000 0.000
F: 0.500 0.000 0.000
Tl: 0.500 0.500 0.500

Material: TlCoCl2F
Method: DFT, GGA+U
State: optimized geometry

Output
total energy = -18.576 eV for the cell shown
V = 20.92 Å³/atom
SG = No. 123

a b c (Å): 5.145 5.145 3.950
angles (deg): 90.00 90.00 90.00
Fractional positions:
Co: 0.000 0.000 0.000
Cl: 0.500 0.000 0.000
F: 0.000 0.000 0.500
Cl: 0.000 0.500 0.000
Tl: 0.500 0.500 0.500

Material: CoW2ClF
Method: DFT, GGA+U
State: optimized geometry

Output
total energy = -18.676 eV for the cell shown
V = 21.69 Å³/atom
SG = No. 123

a b c (Å): 5.253 3.930 5.253
angles (deg): 90.00 90.00 90.00
Fractional positions:
Co: 0.000 0.000 0.000
F: 0.000 0.500 0.000
Cl: 0.500 0.500 0.500
W: 0.000 0.000 0.500
W: 0.500 0.000 0.000

Material: ZnCo2ClF
Method: DFT, GGA+U
State: optimized geometry

Output
total energy = -15.029 eV for the cell shown
V = 17.09 Å³/atom
SG = No. 123

a b c (Å): 4.350 4.517 4.350
angles (deg): 90.00 90.00 90.00
Fractional positions:
Zn: 0.000 0.500 0.000
Co: 0.500 0.000 0.000
F: 0.000 0.000 0.000
Co: 0.000 0.000 0.500
Cl: 0.500 0.500 0.500